# Mn3O2F4

A geometry-optimized Mn3O2F4 structure (PBE with a Hubbard U, Alexandria via LeMat-Bulk).

```
18
Lattice="4.871 0.000 0.000 0.000 4.871 0.000 0.000 0.000 9.429" Properties=species:S:1:pos:R:3 pbc="T T T"
Mn 0.000 0.000 0.000
Mn 0.000 0.000 3.287
Mn 0.000 0.000 6.142
Mn 2.435 2.435 1.428
Mn 2.435 2.435 4.714
Mn 2.435 2.435 8.001
O 0.901 0.901 4.714
O 1.534 3.336 0.000
O 3.336 1.534 0.000
O 3.970 3.970 4.714
F 0.906 0.906 1.742
F 0.906 0.906 7.687
F 1.529 3.341 2.972
F 1.529 3.341 6.457
F 3.341 1.529 2.972
F 3.341 1.529 6.457
F 3.964 3.964 1.742
F 3.964 3.964 7.687
```

Results
VASP energy	-6.624	eV/atom
energy relative to the lowest polymorph listed for this composition	0	meV per atom